VASP calculation (PBE) on crystalline Ba3TmTh2As6 at its relaxed geometry.

a b c (Å): 7.616 7.616 7.954
angles (deg): 99.18 99.18 120.04
Fractional positions:
Ba: 0.000 0.000 0.000
Ba: 0.333 0.667 0.000
Ba: 0.667 0.333 0.000
Tm: 0.500 0.500 0.500
Th: 0.167 0.833 0.500
Th: 0.833 0.167 0.500
As: 0.100 0.430 0.289
As: 0.240 0.240 0.711
As: 0.430 0.100 0.289
As: 0.570 0.900 0.711
As: 0.760 0.760 0.289
As: 0.900 0.570 0.711

Summary:
Energy   -67.91 eV for the cell shown
SG   No. 12

---

VASP calculation (PBE) on crystalline TeSe2I8 at its relaxed geometry.

a b c (Å): 7.885 9.142 9.369
angles (deg): 117.42 112.58 92.75
Fractional positions:
Te: 0.000 0.000 0.000
Se: 0.442 0.590 0.953
Se: 0.558 0.410 0.047
I: 0.156 0.358 0.631
I: 0.175 0.897 0.744
I: 0.223 0.821 0.171
I: 0.326 0.313 0.250
I: 0.674 0.687 0.750
I: 0.777 0.179 0.829
I: 0.825 0.103 0.256
I: 0.844 0.642 0.369

Summary:
Formation energy (no corrections)   0.00 eV per atom
Energy   -22.52 eV for the cell shown
SG   No. 2

---

VASP calculation (PBE) on crystalline Ce2Zn9Au at its relaxed geometry.

a b c (Å): 9.345 9.345 9.345
angles (deg): 33.20 33.20 33.20
Fractional positions:
Ce: 0.148 0.148 0.148
Ce: 0.852 0.852 0.852
Zn: 0.080 0.582 0.582
Zn: 0.335 0.335 0.335
Zn: 0.418 0.418 0.920
Zn: 0.418 0.920 0.418
Zn: 0.500 0.500 0.500
Zn: 0.582 0.080 0.582
Zn: 0.582 0.582 0.080
Zn: 0.665 0.665 0.665
Zn: 0.920 0.418 0.418
Au: 0.000 0.000 0.000

Summary:
Energy   -27.44 eV for the cell shown
SG   No. 166

---

VASP calculation (PBE) on crystalline ZrHgPd6 at its relaxed geometry.

a b c (Å): 4.032 4.032 8.161
angles (deg): 90.00 90.00 90.00
Fractional positions:
Zr: 0.000 0.000 0.000
Hg: 0.000 0.000 0.500
Pd: 0.000 0.500 0.243
Pd: 0.000 0.500 0.757
Pd: 0.500 0.000 0.243
Pd: 0.500 0.000 0.757
Pd: 0.500 0.500 0.000
Pd: 0.500 0.500 0.500

Summary:
Energy   -44.06 eV for the cell shown
Offset from the most stable computed form   0.0 meV per atom
SG   No. 123